## Er3CdH (PBE-GGA)

Data for Er3CdH after structural relaxation.

Calculated total energy (eV/cell): -19.01
Volume (Å³/f.u.): 111
Size of the total moment (Bohr magnetons per cell): 1.4

```
data_Er3CdH
_chemical_formula_sum 'Er3 Cd1 H1'
_symmetry_space_group_name_H-M 'P 1'
_symmetry_Int_Tables_number 1
_cell_length_a 4.806
_cell_length_b 4.806
_cell_length_c 4.806
_cell_angle_alpha 90.00
_cell_angle_beta 90.00
_cell_angle_gamma 90.00
loop_
_symmetry_equiv_pos_as_xyz
'x,y,z'
loop_
_atom_site_label
_atom_site_type_symbol
_atom_site_fract_x
_atom_site_fract_y
_atom_site_fract_z
Er1 Er 0.500 0.000 0.000
Cd1 Cd 0.500 0.500 0.500
Er2 Er 0.000 0.500 0.000
Er3 Er 0.000 0.000 0.500
H1 H 0.000 0.000 0.000
```